This record from the Alexandria database describes a geometry-optimized AcMnCo2O8 structure. The functional is PBE+U.

The calculation puts the density at 5.039 Mg/m³. The total energy comes out at -6.25 eV/atom. The total magnetization comes out at 10.043 μB per formula unit.

Lattice parameters (Å, degrees): 7.3378 7.3378 6.4610 90.00 90.00 90.00
Space group I-4m2 (No. 119)
Unique sites:
1 Ac 0.0000 0.0000 0.0000 (multiplicity 2)
2 Mn 0.0000 0.5000 0.7500 (multiplicity 2)
3 Co 0.0000 0.0000 0.5000 (multiplicity 2)
4 Co 0.0000 0.5000 0.2500 (multiplicity 2)
5 O 0.0000 0.1812 0.6667 (multiplicity 8)
6 O 0.0000 0.3360 0.0625 (multiplicity 8)